Compound: LaB6PbC6
Source: Alexandria via LeMat-Bulk
Functional: PBE
Structure: optimized geometry

POSCAR file:
```
LaB6PbC6
1.0
4.9238 0.0000 0.0000
0.0000 4.9238 0.0000
0.0000 0.0000 4.9238
B Pb La C
6 1 1 6
direct
0.2472 0.5000 0.0000 B
0.0000 0.7528 0.5000 B
0.7528 0.5000 0.0000 B
0.5000 0.0000 0.2472 B
0.0000 0.2472 0.5000 B
0.5000 0.0000 0.7528 B
0.0000 0.0000 0.0000 Pb
0.5000 0.5000 0.5000 La
0.0000 0.5000 0.7472 C
0.0000 0.5000 0.2528 C
0.5000 0.7472 0.0000 C
0.2528 0.0000 0.5000 C
0.7472 0.0000 0.5000 C
0.5000 0.2528 0.0000 C
```

Summary:
The calculation puts the energy relative to the elements at 0.303 eV/atom. The symmetry is Pm-3 (200).



Compound: YTa2As2
Source: Alexandria via LeMat-Bulk
Functional: PBE
Structure: optimized geometry

POSCAR file:
```
YTa2As2
1.0
3.9595 0.0000 0.0000
0.0000 3.9595 0.0000
1.9798 1.9798 6.4818
Y As Ta
1 2 2
direct
0.0000 0.0000 0.0000 Y
0.6117 0.6117 0.7765 As
0.3883 0.3883 0.2235 As
0.2500 0.7500 0.5000 Ta
0.7500 0.2500 0.5000 Ta
```

Summary:
The calculation puts the energy relative to the elements at -0.579 eV/atom. The value obtained for the excess energy over the best structure of this formula in the dataset is 0.000 eV/atom. The symmetry is I4/mmm (139).



Compound: Bi2PtRh
Source: Alexandria via LeMat-Bulk
Functional: PBE
Structure: optimized geometry

POSCAR file:
```
Bi2PtRh
1.0
3.5625 -0.7581 -1.1492
0.7267 4.0604 -0.4234
-0.1417 0.6246 5.7319
Bi Rh Pt
2 1 1
direct
0.3936 0.4590 0.9635 Bi
0.1092 0.9592 0.3858 Bi
0.8340 0.9591 0.8559 Rh
0.6733 0.4592 0.5039 Pt
```

Summary:
The calculation puts the energy relative to the elements at -0.165 eV/atom. The symmetry is Pm (6).



Repeat the third record exactly.
Compound: Bi2PtRh
Source: Alexandria via LeMat-Bulk
Functional: PBE
Structure: optimized geometry

POSCAR file:
```
Bi2PtRh
1.0
3.5625 -0.7581 -1.1492
0.7267 4.0604 -0.4234
-0.1417 0.6246 5.7319
Bi Rh Pt
2 1 1
direct
0.3936 0.4590 0.9635 Bi
0.1092 0.9592 0.3858 Bi
0.8340 0.9591 0.8559 Rh
0.6733 0.4592 0.5039 Pt
```

Summary:
The calculation puts the energy relative to the elements at -0.165 eV/atom. The symmetry is Pm (6).



Q: Which of these has the highest energy relative to the elements?
A: LaB6PbC6



Q: energy relative to the elements of number 2 (YTa2As2)?
A: -0.579 eV/atom